(1)
Computed, not measured: a relaxed BaTcCl2 crystal at the GGA-PBE level of DFT.

Cell: 3.7411 4.1199 7.1258 Å, 90.00 90.00 90.00°
Site moments in Bohr magnetons follow the coordinates.
Fractional coordinates of all 4 atoms:
Cl (0.0000, 0.0000, 0.9840)  0.06
Cl (0.0000, 0.0000, 0.5160)  0.06
Ba (0.5000, 0.5000, 0.7500)  0.01
Tc (0.5000, 0.5000, 0.2500)  3.39

Computed properties:
Crystal system   orthorhombic
Density of states at the Fermi level   2.035 states/eV/f.u.
E   -4.256 eV per atom
Calculated volume   109.83 Å³ per cell
Energy relative to the elements, uncorrected   -0.26 eV/atom


(2)
Computed, not measured: a relaxed Zr2U3PaN6 crystal at the GGA-PBE level of DFT.

Cell: 5.8707 5.8707 5.8985 Å, 99.53 99.53 120.05°
Site moments in Bohr magnetons follow the coordinates.
Fractional coordinates of all 12 atoms:
Zr (0.3336, 0.6664, 0.0000)  -0.02
Zr (0.6664, 0.3336, 0.0000)  -0.02
U (0.1673, 0.8327, 0.5000)  1.31
U (0.8327, 0.1673, 0.5000)  1.31
U (0.5000, 0.5000, 0.5000)  1.29
Pa (0.0000, 0.0000, 0.0000)  0.04
N (0.9196, 0.5771, 0.7575)  -0.04
N (0.7382, 0.7382, 0.2412)  -0.04
N (0.0804, 0.4229, 0.2425)  -0.04
N (0.5771, 0.9196, 0.7575)  -0.04
N (0.2618, 0.2618, 0.7588)  -0.04
N (0.4229, 0.0804, 0.2425)  -0.04

Computed properties:
Crystal system   monoclinic
Density of states at the Fermi level   15.249 states/eV/f.u.
E   -10.707 eV per atom
Calculated volume   166.02 Å³ per cell
Energy relative to the elements, uncorrected   -1.51 eV/atom


(3)
Computed, not measured: a relaxed CsPrMgBr6 crystal at the GGA-PBE level of DFT.

Cell: 7.3761 7.3761 8.1015 Å, 90.01 89.99 59.98°
Fractional coordinates of all 9 atoms:
Cs (0.0000, 0.0000, 0.0000)
Pr (0.3333, 0.3334, 0.5000)
Mg (0.6666, 0.6667, 0.5000)
Br (0.9783, 0.3880, 0.2997)
Br (0.3880, 0.9783, 0.7003)
Br (0.6336, 0.3881, 0.7003)
Br (0.9781, 0.6338, 0.7003)
Br (0.3881, 0.6337, 0.2997)
Br (0.6337, 0.9781, 0.2997)

Computed properties:
Crystal system   trigonal
Density of states at the Fermi level   0.000 states/eV/f.u.
E   -3.663 eV per atom
Calculated volume   381.65 Å³ per cell
Energy relative to the elements, uncorrected   -1.75 eV/atom


(4)
Computed, not measured: a relaxed Pm2Ho3Sc2 crystal at the GGA-PBE level of DFT.

Cell: 5.2056 3.4643 11.9796 Å, 90.00 77.45 90.00°
Fractional coordinates of all 7 atoms:
Pm (0.5760, 0.5000, 0.8480)
Pm (0.4240, 0.5000, 0.1520)
Ho (0.8425, 0.0000, 0.3150)
Ho (0.0000, 0.0000, 0.0000)
Ho (0.1575, 0.0000, 0.6850)
Sc (0.7167, 0.5000, 0.5665)
Sc (0.2833, 0.5000, 0.4335)

Computed properties:
Crystal system   orthorhombic
Density of states at the Fermi level   10.936 states/eV/f.u.
E   -5.094 eV per atom
Calculated volume   210.88 Å³ per cell


(5)
Computed, not measured: a relaxed RbMgCuS2 crystal at the GGA-PBE level of DFT.

Cell: 5.6717 7.6043 6.3106 Å, 112.83 90.00 90.00°
Fractional coordinates of all 10 atoms:
Rb (0.2318, 0.5000, 0.7500)
Rb (0.7682, 0.5000, 0.2500)
Mg (0.4994, 0.0000, 0.2500)
Mg (0.5006, 0.0000, 0.7500)
Cu (0.0000, 0.0000, 0.0000)
Cu (0.0000, 0.0000, 0.5000)
S (0.7197, 0.7908, 0.9025)
S (0.7197, 0.2092, 0.5975)
S (0.2803, 0.7908, 0.4025)
S (0.2803, 0.2092, 0.0975)

Computed properties:
Crystal system   monoclinic
Density of states at the Fermi level   0.000 states/eV/f.u.
E   -4.005 eV per atom
Calculated volume   250.86 Å³ per cell
Energy relative to the elements, uncorrected   -1.02 eV/atom


(6)
Computed, not measured: a relaxed La8CoRh2Au crystal at the GGA-PBE level of DFT.

Cell: 6.5663 6.8959 8.7069 Å, 90.01 90.00 87.78°
Fractional coordinates of all 12 atoms:
La (0.1322, 0.7552, 0.2235)
La (0.6463, 0.7373, 0.0000)
La (0.8678, 0.2448, 0.2235)
La (0.8678, 0.2448, 0.7765)
La (0.3537, 0.2627, 0.0000)
La (0.1322, 0.7552, 0.7765)
La (0.6267, 0.7306, 0.5000)
La (0.3733, 0.2694, 0.5000)
Co (0.0000, 0.0000, 0.0000)
Rh (0.5000, 0.5000, 0.7499)
Rh (0.5000, 0.5000, 0.2501)
Au (0.0000, 0.0000, 0.5000)

Computed properties:
Crystal system   monoclinic
Density of states at the Fermi level   12.035 states/eV/f.u.
E   -5.775 eV per atom
Calculated volume   393.96 Å³ per cell


(7)
Computed, not measured: a relaxed CsNa2Au crystal at the GGA-PBE level of DFT.

Cell: 6.0949 6.0949 11.0672 Å, 74.02 74.02 90.00°
Fractional coordinates of all 8 atoms:
Cs (0.5000, 0.5000, 0.0000)
Cs (0.2500, 0.7500, 0.5000)
Na (0.8697, 0.1250, 0.2500)
Na (0.8803, 0.6250, 0.2500)
Na (0.3750, 0.1303, 0.7500)
Na (0.8750, 0.1197, 0.7500)
Au (0.0000, 0.0000, 0.0000)
Au (0.7500, 0.2500, 0.5000)

Computed properties:
Crystal system   tetragonal
Density of states at the Fermi level   1.318 states/eV/f.u.
E   -1.731 eV per atom
Calculated volume   378.67 Å³ per cell


(8)
Computed, not measured: a relaxed AcAl crystal at the GGA-PBE level of DFT.

Cell: 3.6605 3.7032 9.8398 Å, 90.00 67.97 90.00°
Fractional coordinates of all 4 atoms:
Ac (0.0672, 0.7500, 0.1821)
Ac (0.9328, 0.2500, 0.8179)
Al (0.6841, 0.7500, 0.5666)
Al (0.3159, 0.2500, 0.4334)

Computed properties:
Crystal system   monoclinic
Density of states at the Fermi level   2.376 states/eV/f.u.
E   -3.971 eV per atom
Calculated volume   123.64 Å³ per cell


Number 3 is which compound?
CsPrMgBr6